Entry 1:
Material: MnCrTcRhW
Method: DFT, PBE-GGA
State: relaxed

Cell: 6.6442 2.7167 8.8152 Å, 90.00 118.53 90.00°
With the nearest neighbours (Å) after each atom.
Fractional positions:
Rh: 0.7414 0.5000 0.5693  3 Cr 2.60-2.65, 3 Mn 2.64-2.65, 2 Rh 2.72, 2 W 2.73, 2 Tc 2.73
Rh: 0.7414 0.0000 0.0693  3 Cr 2.60-2.65, 3 Mn 2.64-2.65, 2 Rh 2.72, 2 W 2.73, 2 Tc 2.73
Mn: 0.5565 0.5000 0.7766  2 Cr 2.55, 3 Rh 2.64-2.65, 3 Tc 2.66-2.77, 2 Mn 2.72, 2 W 2.81
Mn: 0.5565 0.0000 0.2766  2 Cr 2.55, 3 Rh 2.64-2.65, 3 Tc 2.66-2.77, 2 Mn 2.72, 2 W 2.81
W: 0.1403 0.0000 0.6669  3 Tc 2.57-2.79, 3 Cr 2.71-2.77, 2 W 2.72, 2 Rh 2.73, 2 Mn 2.81
W: 0.1403 0.5000 0.1669  3 Tc 2.57-2.79, 3 Cr 2.71-2.77, 2 W 2.72, 2 Rh 2.73, 2 Mn 2.81
Cr: 0.9173 0.0000 0.8557  2 Mn 2.55, 3 Rh 2.60-2.65, 3 W 2.71-2.77, 2 Cr 2.72, 2 Tc 2.85
Cr: 0.9173 0.5000 0.3557  2 Mn 2.55, 3 Rh 2.60-2.65, 3 W 2.71-2.77, 2 Cr 2.72, 2 Tc 2.85
Tc: 0.3445 0.0000 0.4820  3 W 2.57-2.79, 3 Mn 2.66-2.77, 2 Tc 2.72, 2 Rh 2.73, 2 Cr 2.85
Tc: 0.3445 0.5000 0.9820  3 W 2.57-2.79, 3 Mn 2.66-2.77, 2 Tc 2.72, 2 Rh 2.73, 2 Cr 2.85

Computed properties:
Energy, eV/atom: -9.80
Volume, Å³/f.u.: 70
Calculated density, g cm⁻³: 11.68
ΔH_f (0 K), eV/f.u.: 0.5



Entry 2:
Material: MnCrTcRhW
Method: DFT, PBE-GGA
State: relaxed

Cell: 2.8956 2.8956 16.8909 Å, 90.00 90.00 90.00°
With the nearest neighbours (Å) after each atom.
Fractional positions:
Mn: 0.0000 0.0000 0.7964  4 Rh 2.67, 4 Tc 2.69, 4 Mn 2.90
Mn: 0.5000 0.5000 0.2964  4 Rh 2.67, 4 Tc 2.69, 4 Mn 2.90
Cr: 0.0000 0.0000 0.9809  4 Tc 2.47, 4 W 2.72
Cr: 0.5000 0.5000 0.4809  4 Tc 2.47, 4 W 2.72
Rh: 0.5000 0.5000 0.6950  4 Mn 2.67, 4 W 2.74, 4 Rh 2.90
Rh: 0.0000 0.0000 0.1950  4 Mn 2.67, 4 W 2.74, 4 Rh 2.90
W: 0.0000 0.0000 0.5871  4 Cr 2.72, 4 Rh 2.74, 4 W 2.90
W: 0.5000 0.5000 0.0871  4 Cr 2.72, 4 Rh 2.74, 4 W 2.90
Tc: 0.5000 0.5000 0.8994  4 Cr 2.47, 4 Mn 2.69
Tc: 0.0000 0.0000 0.3994  4 Cr 2.47, 4 Mn 2.69

Computed properties:
Energy, eV/atom: -9.84
Volume, Å³/f.u.: 71
Calculated density, g cm⁻³: 11.53
ΔH_f (0 K), eV/f.u.: 0.3



How do the records compare in polymorph energy (0 for the lowest one)? In the order shown, they have 43, 0 meV per atom.